# Sr2Li2NiO4

A relaxed Sr2Li2NiO4 crystal (PBE+U, the Alexandria database).

Properties
total moment: 4.1 μB/cell
uncorrected energy: -0.193 Ha/atom

Lattice parameters (Å, degrees): 5.4573 5.6160 8.3366 106.22 95.85 98.69
Last column: nearest neighbours and their distance in Å.
Space group P-1 (No. 2)
Unique sites:
Sr 0.1731 0.1438 0.1952 [2 per cell]  4 O 2.40-2.65
Sr 0.2775 0.7729 0.5265 [2 per cell]  4 O 2.46-2.71
Li 0.1995 0.6196 0.0447 [2 per cell]  4 O 1.93-2.10
Li 0.4133 0.1137 0.9127 [2 per cell]  4 O 1.90-2.09
Ni 0.2923 0.3850 0.7455 [2 per cell]  4 O 1.98-2.05
O 0.1234 0.2626 0.9248 [2 per cell]  3 Li 1.90-1.99, 1 Ni 2.05
O 0.1996 0.3065 0.4962 [2 per cell]  1 Ni 1.99
O 0.3459 0.7538 0.8563 [2 per cell]  3 Li 1.91-2.10, 1 Ni 1.98
O 0.4213 0.8036 0.2619 [2 per cell]  2 Li 1.91-1.99, 1 Ni 2.01